Density functional theory data (PBE with a Hubbard U) for an optimized crystal structure of TmZrMoO6.

Structure (CIF):
```
data_TmZrMoO6
_cell_length_a 5.3824
_cell_length_b 5.3824
_cell_length_c 9.2261
_cell_angle_alpha 90.00
_cell_angle_beta 90.00
_cell_angle_gamma 120.00
_space_group_name_H-M_alt 'P -3 1 c'
_space_group_IT_number 163
_space_group_name_Hall '-P 3 2c'
loop_
_atom_site_label
_atom_site_type_symbol
_atom_site_fract_x
_atom_site_fract_y
_atom_site_fract_z
Tm1 Tm 0.3333 0.6667 0.2500
Zr1 Zr 0.0000 0.0000 0.0000
Mo1 Mo 0.3333 0.6667 0.7500
O1 O 0.0327 0.3478 0.6292
```

## Properties
For the total energy, the calculation gives -8.188 eV/atom.